Compound: BeCrF2
Source: Alexandria
Functional: PBE with a Hubbard U
Structure: relaxed

Cell and atoms, written as POSCAR:
```
BeCrF2
1.0
0.0000 3.7629 3.7629
3.7629 0.0000 3.7629
3.7629 3.7629 0.0000
Be Cr F
2 2 4
direct
0.1250 0.1250 0.1250
0.8750 0.8750 0.8750
0.3750 0.3750 0.3750
0.6250 0.6250 0.6250
0.0000 0.0000 0.0000
0.0000 0.0000 0.5000
0.0000 0.5000 0.0000
0.5000 0.0000 0.0000
```

Output
energy above the lowest structure with this stoichiometry = 0 meV/atom
SG = No. 227